4
Lattice="-1.702 -0.673 2.368 3.705 -1.344 2.282 0.561 4.316 1.630" Properties=species:S:1:pos:R:3 comment="PBE LiTlRu2, optimized geometry" volume_a3_per_atom=15.83 magmom_total_mub_per_fu=1.25 e_above_lowest_polymorph_ev_per_fu=0.68 pbc="T T T"
Li 2.133 1.486 1.956
Ru 0.000 0.000 0.000
Ru 1.001 -1.008 2.325
Tl -0.571 1.821 1.999



9
Lattice="-2.305 0.969 2.551 -4.777 1.726 -2.472 -3.058 -4.530 1.458" Properties=species:S:1:pos:R:3 comment="PBE Cr2Ni6Ir, optimized geometry" volume_a3_per_atom=11.41 magmom_total_mub_per_fu=0.00 pbc="T T T"
Cr -5.714 -2.612 0.830
Cr -4.426 0.776 0.707
Ni -5.675 -2.544 3.340
Ni -2.077 -0.110 0.665
Ni -8.063 -1.726 0.871
Ni -6.298 -0.497 -0.501
Ni -3.842 -1.338 2.038
Ni -4.465 0.708 -1.803
Ir -3.918 -1.402 -0.507



no.,VASP energy (eV/atom)
1,-5.309
2,-6.997